# 1
Entry from Alexandria: ZrTi2Co2 after structural relaxation (GGA-PBE).

abc: 4.0113 4.0113 10.2306
angles: 101.31 101.31 90.00
Element x y z (fractional)
1 Zr 0.6286 0.6286 0.2572
2 Zr 0.3714 0.3714 0.7428
3 Ti 0.0000 0.5000 0.0000
4 Ti 0.1855 0.1855 0.3709
5 Ti 0.5000 0.0000 0.0000
6 Ti 0.8145 0.8145 0.6291
7 Co 0.7500 0.2500 0.5000
8 Co 0.9308 0.9308 0.8616
9 Co 0.0692 0.0692 0.1384
10 Co 0.2500 0.7500 0.5000

Properties
* energy above the most stable polymorph in this dataset: 0.39 eV/f.u.
* space-group type: I4/mmm (139)
* Fermi-level density of states: 1.46 states/eV/atom
* energy: -7.8907 eV/atom
* E_form: -181 meV/atom

***

# 2
Entry from Alexandria: Ba2TiBiSb after structural relaxation (GGA-PBE).

abc: 6.6032 5.3141 6.6032
angles: 90.00 90.00 90.00
Element x y z (fractional)
1 Sb 0.5000 0.5000 0.5000
2 Ti 0.0000 0.5000 0.0000
3 Bi 0.0000 0.0000 0.0000
4 Ba 0.0000 0.0000 0.5000
5 Ba 0.5000 0.0000 0.0000

Properties
* energy above the most stable polymorph in this dataset: 0.80 eV/f.u.
* space-group type: P4/mmm (123)
* energy relative to the elements, uncorrected: -0.03 eV per atom
* Fermi-level density of states: 0.49 states/eV/atom
* energy: -3.9827 eV/atom

***

# 3
Entry from Alexandria: CuSb2O6 after structural relaxation (GGA-PBE).

abc: 4.7347 4.7347 9.3972
angles: 90.00 90.00 90.00
Element x y z (fractional)
1 Cu 0.0000 0.0000 0.0000
2 Cu 0.5000 0.5000 0.5000
3 Sb 0.5000 0.5000 0.8323
4 Sb 0.0000 0.0000 0.3323
5 Sb 0.5000 0.5000 0.1677
6 Sb 0.0000 0.0000 0.6677
7 O 0.6968 0.6968 0.6710
8 O 0.3032 0.3032 0.6710
9 O 0.6968 0.6968 0.3290
10 O 0.1968 0.8032 0.1710
11 O 0.8032 0.1968 0.1710
12 O 0.8032 0.1968 0.8290
13 O 0.3096 0.3096 0.0000
14 O 0.1904 0.8096 0.5000
15 O 0.8096 0.1904 0.5000
16 O 0.6904 0.6904 0.0000
17 O 0.3032 0.3032 0.3290
18 O 0.1968 0.8032 0.8290

Properties
* energy above the most stable polymorph in this dataset: 0.00 eV/f.u.
* space-group type: P4_2/mnm (136)
* energy relative to the elements, uncorrected: -1.17 eV per atom
* Fermi-level density of states: 0.43 states/eV/atom
* energy: -5.8486 eV/atom

***

# 4
Entry from Alexandria: LaEr3Tm4 after structural relaxation (GGA-PBE).

abc: 6.2191 7.2179 11.2105
angles: 90.00 90.00 90.00
Element x y z (fractional)
1 La 0.1442 0.3735 0.0000
2 La 0.6442 0.6265 0.5000
3 Er 0.6471 0.6285 0.0000
4 Er 0.9821 0.6275 0.2510
5 Er 0.4821 0.3725 0.2490
6 Er 0.1471 0.3715 0.5000
7 Er 0.4821 0.3725 0.7510
8 Er 0.9821 0.6275 0.7490
9 Tm 0.1478 0.8765 0.0000
10 Tm 0.6482 0.1210 0.0000
11 Tm 0.9820 0.1231 0.2530
12 Tm 0.4820 0.8769 0.2470
13 Tm 0.1482 0.8790 0.5000
14 Tm 0.6478 0.1235 0.5000
15 Tm 0.4820 0.8769 0.7530
16 Tm 0.9820 0.1231 0.7470

Properties
* energy above the most stable polymorph in this dataset: 0.00 eV/f.u.
* space-group type: Pmn2_1 (31)
* Fermi-level density of states: 1.58 states/eV/atom
* energy: -4.5524 eV/atom
* E_form: 10 meV/atom

***

# 5
Entry from Alexandria: RbCd2FeRe after structural relaxation (GGA-PBE).

abc: 5.3697 6.2814 5.3697
angles: 90.00 90.00 90.00
Element x y z (fractional)
1 Re 0.0000 0.0000 0.0000
2 Fe 0.5000 0.5000 0.5000
3 Rb 0.0000 0.5000 0.0000
4 Cd 0.0000 0.0000 0.5000
5 Cd 0.5000 0.0000 0.0000

Properties
* energy above the most stable polymorph in this dataset: 4.55 eV/f.u.
* space-group type: P4/mmm (123)
* Fermi-level density of states: 2.06 states/eV/atom
* energy: -2.9758 eV/atom
* E_form: 1766 meV/atom

***

# 6
Entry from Alexandria: NdY2Ag after structural relaxation (GGA-PBE).

abc: 4.8831 4.8377 4.8377
angles: 90.00 90.00 90.00
Element x y z (fractional)
1 Y 0.0000 0.0000 0.5000
2 Y 0.0000 0.5000 0.0000
3 Nd 0.5000 0.5000 0.5000
4 Ag 0.5000 0.0000 0.0000

Properties
* energy above the most stable polymorph in this dataset: 0.65 eV/f.u.
* space-group type: P4/mmm (123)
* Fermi-level density of states: 1.62 states/eV/atom
* energy: -5.1145 eV/atom
* E_form: 22 meV/atom

***

# 7
Entry from Alexandria: LiCrSb after structural relaxation (GGA-PBE).

abc: 4.5398 4.5398 4.5398
angles: 60.00 60.00 60.00
Element x y z (fractional)
1 Cr 0.0000 0.0000 0.0000
2 Li 0.5000 0.5000 0.5000
3 Sb 0.7500 0.7500 0.7500

Properties
* energy above the most stable polymorph in this dataset: 0.16 eV/f.u.
* space-group type: F-43m (216)
* energy relative to the elements, uncorrected: -0.04 eV per atom
* Fermi-level density of states: 0.40 states/eV/atom
* energy: -5.2573 eV/atom

***

# 8
Entry from Alexandria: Dy2AlCo5B2 after structural relaxation (GGA-PBE).

abc: 3.0207 9.0556 9.0556
angles: 90.00 90.00 90.00
Element x y z (fractional)
1 Dy 0.0000 0.6780 0.1780
2 Dy 0.0000 0.3220 0.8220
3 Dy 0.0000 0.1780 0.3220
4 Dy 0.0000 0.8220 0.6780
5 Al 0.0000 0.0000 0.0000
6 Al 0.0000 0.5000 0.5000
7 Co 0.5000 0.2284 0.0680
8 Co 0.5000 0.7716 0.9320
9 Co 0.5000 0.0680 0.7716
10 Co 0.5000 0.7284 0.4320
11 Co 0.5000 0.9320 0.2284
12 Co 0.5000 0.2716 0.5680
13 Co 0.5000 0.5680 0.7284
14 Co 0.5000 0.4320 0.2716
15 Co 0.5000 0.5000 0.0000
16 Co 0.5000 0.0000 0.5000
17 B 0.0000 0.1182 0.6182
18 B 0.0000 0.8818 0.3818
19 B 0.0000 0.6182 0.8818
20 B 0.0000 0.3818 0.1182

Properties
* space-group type: P4/mbm (127)
* Fermi-level density of states: 0.59 states/eV/atom
* energy: -6.6062 eV/atom
* E_form: -423 meV/atom

***

# 9
Entry from Alexandria: ScGaIrOs after structural relaxation (GGA-PBE).

abc: 4.4322 4.4322 4.4322
angles: 60.00 60.00 60.00
Element x y z (fractional)
1 Sc 0.7500 0.7500 0.7500
2 Ir 0.5000 0.5000 0.5000
3 Os 0.0000 0.0000 0.0000
4 Ga 0.2500 0.2500 0.2500

Properties
* space-group type: F-43m (216)
* Fermi-level density of states: 0.89 states/eV/atom
* energy: -7.7993 eV/atom
* E_form: -437 meV/atom

***

# 10
Entry from Alexandria: CeLuZrIn after structural relaxation (GGA-PBE).

abc: 5.2000 5.2000 5.2000
angles: 60.00 60.00 60.00
Element x y z (fractional)
1 Lu 0.0000 0.0000 0.0000
2 Zr 0.5000 0.5000 0.5000
3 Ce 0.7500 0.7500 0.7500
4 In 0.2500 0.2500 0.2500

Properties
* space-group type: F-43m (216)
* Fermi-level density of states: 1.53 states/eV/atom
* energy: -5.4622 eV/atom
* E_form: -27 meV/atom

***

# 11
Entry from Alexandria: Sm3Dy2HoSe6 after structural relaxation (GGA-PBE).

abc: 7.1147 7.1147 7.1940
angles: 99.46 99.46 120.31
Element x y z (fractional)
1 Sm 0.1678 0.8322 0.5000
2 Sm 0.8322 0.1678 0.5000
3 Sm 0.5000 0.5000 0.5000
4 Dy 0.3332 0.6667 0.0000
5 Dy 0.6667 0.3332 0.0000
6 Ho 0.0000 0.0000 0.0000
7 Se 0.9201 0.5882 0.7601
8 Se 0.7482 0.7482 0.2408
9 Se 0.0799 0.4118 0.2399
10 Se 0.5882 0.9201 0.7601
11 Se 0.2518 0.2518 0.7592
12 Se 0.4118 0.0799 0.2399

Properties
* space-group type: C2/m (12)
* energy relative to the elements, uncorrected: -1.78 eV per atom
* Fermi-level density of states: 0.47 states/eV/atom
* energy: -5.8534 eV/atom

***

# 12
Entry from Alexandria: Ba2BiAs3Pt4 after structural relaxation (GGA-PBE).

abc: 4.6454 4.6454 10.6170
angles: 90.00 90.00 90.00
Element x y z (fractional)
1 Ba 0.5000 0.0000 0.2387
2 Ba 0.0000 0.5000 0.7613
3 Bi 0.5000 0.5000 0.5000
4 As 0.0000 0.0000 0.5000
5 As 0.5000 0.0000 0.8814
6 As 0.0000 0.5000 0.1186
7 Pt 0.5000 0.5000 0.0000
8 Pt 0.0000 0.0000 0.0000
9 Pt 0.5000 0.0000 0.6416
10 Pt 0.0000 0.5000 0.3584

Properties
* space-group type: P-4m2 (115)
* Fermi-level density of states: 0.67 states/eV/atom
* energy: -5.2609 eV/atom
* E_form: -677 meV/atom

***

# 13
Entry from Alexandria: Pr2AlOs2 after structural relaxation (GGA-PBE).

abc: 5.8370 5.7281 8.0606
angles: 101.90 90.00 120.63
Element x y z (fractional)
1 Pr 0.5030 0.2935 0.1462
2 Pr 0.2096 0.7065 0.3538
3 Pr 0.4970 0.7065 0.8538
4 Pr 0.7904 0.2935 0.6462
5 Al 0.8988 0.0000 0.2500
6 Al 0.1012 0.0000 0.7500
7 Os 0.7104 0.7167 0.4885
8 Os 0.9937 0.2833 0.0115
9 Os 0.2896 0.2833 0.5115
10 Os 0.0063 0.7167 0.9885

Properties
* space-group type: C2/c (15)
* Fermi-level density of states: 1.02 states/eV/atom
* energy: -7.3746 eV/atom
* E_form: -222 meV/atom

***

# 14
Entry from Alexandria: SrY2PuO6 after structural relaxation (GGA-PBE).

abc: 5.9486 5.9485 6.2011
angles: 61.34 61.34 60.00
Element x y z (fractional)
1 Sr 0.7962 0.7962 0.6113
2 Y 0.5270 0.5270 0.4191
3 Y 0.0173 0.0173 0.9480
4 Pu 0.3153 0.3153 0.0542
5 O 0.6148 0.2327 0.2351
6 O 0.2327 0.9174 0.2351
7 O 0.9174 0.6148 0.2351
8 O 0.3728 0.7066 0.7591
9 O 0.7066 0.1614 0.7591
10 O 0.1614 0.3729 0.7591

Properties
* space-group type: R3 (146)
* energy relative to the elements, uncorrected: -3.21 eV per atom
* Fermi-level density of states: 0.05 states/eV/atom
* energy: -9.0795 eV/atom

***

# 15
Entry from Alexandria: Os2C after structural relaxation (GGA-PBE).

abc: 5.5740 5.5740 3.9805
angles: 90.00 90.00 120.00
Element x y z (fractional)
1 Os 0.2908 0.0000 0.0000
2 Os 0.0000 0.2908 0.0000
3 Os 0.7092 0.7092 0.0000
4 Os 0.6318 0.0000 0.5000
5 Os 0.0000 0.6318 0.5000
6 Os 0.3682 0.3682 0.5000
7 C 0.3333 0.6667 0.0000
8 C 0.6667 0.3333 0.0000
9 C 0.0000 0.0000 0.5000

Properties
* energy above the most stable polymorph in this dataset: 0.69 eV/f.u.
* space-group type: P-62m (189)
* Fermi-level density of states: 0.20 states/eV/atom
* energy: -9.8261 eV/atom
* E_form: 735 meV/atom

***

# 16
Entry from Alexandria: SrCl3 after structural relaxation (GGA-PBE).

abc: 6.3376 6.3376 5.7189
angles: 90.00 90.00 120.00
Element x y z (fractional)
1 Sr 0.3333 0.6667 0.7500
2 Sr 0.6667 0.3333 0.2500
3 Cl 0.1730 0.3461 0.2500
4 Cl 0.6539 0.8270 0.2500
5 Cl 0.1730 0.8270 0.2500
6 Cl 0.8270 0.6539 0.7500
7 Cl 0.3461 0.1730 0.7500
8 Cl 0.8270 0.1730 0.7500

Properties
* space-group type: P6_3/mmc (194)
* energy relative to the elements, uncorrected: -1.52 eV per atom
* Fermi-level density of states: 0.47 states/eV/atom
* energy: -3.3281 eV/atom

***

# 17
Entry from Alexandria: La2NdZn6 after structural relaxation (GGA-PBE).

abc: 3.6533 8.0190 8.0190
angles: 120.00 90.00 90.00
Element x y z (fractional)
1 La 0.0000 0.3333 0.6667
2 La 0.0000 0.6667 0.3333
3 Nd 0.0000 0.0000 0.0000
4 Zn 0.5000 0.3308 0.3308
5 Zn 0.5000 0.6692 0.6692
6 Zn 0.5000 0.0000 0.6692
7 Zn 0.5000 0.6692 0.0000
8 Zn 0.5000 0.3308 0.0000
9 Zn 0.5000 0.0000 0.3308

Properties
* space-group type: P6/mmm (191)
* Fermi-level density of states: 0.93 states/eV/atom
* energy: -2.8238 eV/atom
* E_form: -350 meV/atom

***

# 18
Entry from Alexandria: KPdCl after structural relaxation (GGA-PBE).

abc: 8.4918 4.4545 4.7368
angles: 90.00 76.24 90.00
Element x y z (fractional)
1 K 0.9879 0.5000 0.6437
2 K 0.4365 0.5000 0.9519
3 Pd 0.6971 0.0000 0.7749
4 Pd 0.8673 0.0000 0.1976
5 Cl 0.1539 0.0000 0.0507
6 Cl 0.5871 0.0000 0.3341

Properties
* energy above the most stable polymorph in this dataset: 0.15 eV/f.u.
* space-group type: Pm (6)
* energy relative to the elements, uncorrected: -0.77 eV per atom
* Fermi-level density of states: 0.00 states/eV/atom
* energy: -3.4801 eV/atom

***

# 19
Entry from Alexandria: ReOs2Rh2 after structural relaxation (GGA-PBE).

abc: 7.4062 7.4064 2.7216
angles: 90.00 90.00 90.00
Element x y z (fractional)
1 Re 0.0000 0.0000 0.0000
2 Re 0.5000 0.5000 0.0000
3 Os 0.3248 0.8248 0.5000
4 Os 0.8248 0.6752 0.5000
5 Os 0.6752 0.1752 0.5000
6 Os 0.1752 0.3248 0.5000
7 Rh 0.1224 0.6224 0.0000
8 Rh 0.6224 0.8776 0.0000
9 Rh 0.8776 0.3776 0.0000
10 Rh 0.3776 0.1224 0.0000

Properties
* space-group type: P4/mbm (127)
* Fermi-level density of states: 0.86 states/eV/atom
* energy: -9.4677 eV/atom
* E_form: 454 meV/atom

***

# 20
Entry from Alexandria: Li6SmPb6 after structural relaxation (GGA-PBE).

abc: 5.9357 7.6591 7.6591
angles: 78.03 67.20 67.20
Element x y z (fractional)
1 Li 0.0000 0.5000 0.0000
2 Li 0.5000 0.5000 0.0000
3 Li 0.0000 0.0000 0.5000
4 Li 0.5000 0.0000 0.5000
5 Li 0.5000 0.7518 0.2482
6 Li 0.5000 0.2482 0.7518
7 Sm 0.0000 0.0000 0.0000
8 Pb 0.3354 0.6646 0.6646
9 Pb 0.6646 0.3354 0.3354
10 Pb 0.0000 0.3413 0.6587
11 Pb 0.0000 0.6587 0.3413
12 Pb 0.3349 0.1651 0.1651
13 Pb 0.6651 0.8349 0.8349

Properties
* space-group type: Immm (71)
* Fermi-level density of states: 0.37 states/eV/atom
* energy: -3.2545 eV/atom
* E_form: -297 meV/atom